1.
A plane-wave DFT calculation with PBE was carried out for crystalline Pu2ThGeC at its relaxed geometry.

- Energy of formation from the pure elements: -11 meV/atom
- Mass density: 13.5 g cm⁻³
- Magnetic moment: 0.01 μB per atom

abc: 3.5767 6.1059 9.4591
angles: 90.00 90.00 107.03
With the nearest neighbours (Å) after each atom.
Fractional positions:
Pu 0.1882 0.3763 0.5313  1 C 2.22, 2 Pu 2.37
Pu 0.1882 0.3763 0.9687  1 C 2.22, 2 Pu 2.37
Pu 0.8118 0.6237 0.4687  1 C 2.22, 2 Pu 2.37
Pu 0.8118 0.6237 0.0313  1 C 2.22, 2 Pu 2.37
C 0.0000 0.0000 0.0000  2 Pu 2.22
C 0.0000 0.0000 0.5000  2 Pu 2.22
Ge 0.2434 0.4869 0.2500  6 Pu 2.74-2.85
Ge 0.7566 0.5131 0.7500  6 Pu 2.74-2.85
Th 0.4760 0.9521 0.7500  4 C 2.98, 3 Ge 3.12-3.28
Th 0.5240 0.0479 0.2500  4 C 2.98, 3 Ge 3.12-3.28

***

2.
A plane-wave DFT calculation with PBE was carried out for crystalline K2OsIO6 at its relaxed geometry.

- Uncorrected formation energy: -1.050 eV/atom
- Mass density: 5.0 g cm⁻³
- Magnetic moment: 0.09 μB per atom

abc: 5.5952 5.1320 7.2475
angles: 62.12 66.79 90.18
With the nearest neighbours (Å) after each atom.
Fractional positions:
O 0.3104 0.3309 0.8626  1 Os 1.98, 1 I 2.12
O 0.8591 0.9959 0.2718  1 Os 1.80
O 0.6896 0.6691 0.1374  1 Os 1.98, 1 I 2.12
O 0.8210 0.3187 0.8644  1 Os 1.98, 1 I 2.13
O 0.1409 0.0041 0.7282  1 Os 1.80
O 0.1790 0.6813 0.1356  1 Os 1.98, 1 I 2.13
K 0.7334 0.2615 0.5306  5 O 2.69-2.80
K 0.2666 0.7385 0.4694  5 O 2.69-2.80
I 0.5000 0.5000 0.0000  4 O 2.12-2.13
Os 0.0000 0.0000 0.0000  6 O 1.80-1.98

***

3.
A plane-wave DFT calculation with PBE was carried out for crystalline SbPS at its relaxed geometry.

- Uncorrected formation energy: 0.053 eV/atom
- Mass density: 3.9 g cm⁻³
- Magnetic moment: 0.00 μB per atom
- Energy relative to the lowest polymorph listed for this composition: 87 meV/atom

abc: 5.8584 5.8676 5.9026
angles: 103.11 113.81 110.20
With the nearest neighbours (Å) after each atom.
Fractional positions:
S 0.9697 0.9790 0.9086  2 Sb 2.51-2.52
S 0.6990 0.4353 0.1685  2 P 2.15-2.17
Sb 0.2573 0.7428 0.0164  1 S 2.51, 2 P 2.66-2.67
Sb 0.1654 0.1839 0.4143  1 S 2.52, 2 P 2.62-2.63
P 0.1467 0.7309 0.4098  1 S 2.15
P 0.7226 0.2057 0.4102  1 S 2.17

***

4.
A plane-wave DFT calculation with PBE was carried out for crystalline H2PdI3 at its relaxed geometry.

- Mass density: 3.8 g cm⁻³
- Magnetic moment: 0.01 μB per atom
- Raw total energy: -2.747 eV/atom

abc: 9.2345 7.9633 7.3885
angles: 90.00 51.69 90.00
With the nearest neighbours (Å) after each atom.
Fractional positions:
Pd 0.9696 0.7500 0.9972  1 H 1.53
Pd 0.0304 0.2500 0.0028  1 H 1.53
I 0.8343 0.9983 0.3289  2 Pd 2.77, 2 H 3.02
I 0.1657 0.4983 0.6711  2 Pd 2.77, 2 H 3.02
I 0.6518 0.7500 0.0057  1 H 1.64
I 0.1657 0.0017 0.6711  2 Pd 2.77, 2 H 3.02
I 0.8343 0.5017 0.3289  2 Pd 2.77, 2 H 3.02
I 0.3482 0.2500 0.9943  1 H 1.64
H 0.2416 0.2500 0.2732  1 I 1.64
H 0.7584 0.7500 0.7268  1 I 1.64
H 0.1332 0.7500 0.0004  1 Pd 1.53
H 0.8668 0.2500 0.9996  1 Pd 1.53

***

5.
A plane-wave DFT calculation with PBE was carried out for crystalline Er2BeIr at its relaxed geometry.

- Energy of formation from the pure elements: -570 meV/atom
- Mass density: 10.8 g cm⁻³
- Magnetic moment: 0.00 μB per atom
- Energy relative to the lowest polymorph listed for this composition: 0 meV/atom

abc: 3.9514 5.5541 8.0997
angles: 111.79 90.00 90.00
With the nearest neighbours (Å) after each atom.
Fractional positions:
Be 0.2500 0.3877 0.7226  2 Ir 2.32
Be 0.7500 0.6123 0.2774  2 Ir 2.32
Er 0.7500 0.2125 0.9301  3 Be 2.86-2.98, 4 Ir 2.96-3.03
Er 0.2500 0.7875 0.0699  3 Be 2.86-2.98, 4 Ir 2.96-3.03
Er 0.2500 0.7827 0.5728  4 Be 2.87-3.12, 3 Ir 2.90-2.92
Er 0.7500 0.2173 0.4272  4 Be 2.87-3.12, 3 Ir 2.90-2.92
Ir 0.2500 0.3754 0.2224  2 Be 2.32
Ir 0.7500 0.6246 0.7776  2 Be 2.32

***

6.
A plane-wave DFT calculation with PBE was carried out for crystalline NdIn8Rh2 at its relaxed geometry.

- Energy of formation from the pure elements: -252 meV/atom
- Mass density: 7.9 g cm⁻³
- Magnetic moment: 0.00 μB per atom

abc: 5.2001 7.3647 7.3647
angles: 105.90 96.82 96.82
With the nearest neighbours (Å) after each atom.
Fractional positions:
In 0.5000 0.7266 0.2734  2 Rh 2.62
In 0.7165 0.3858 0.3858  2 Rh 2.85, 4 In 3.14-3.15
In 0.5000 0.2734 0.7266  2 Rh 2.62
In 0.8956 0.6592 0.9164  2 Rh 2.74-2.84, 1 In 3.02
In 0.1044 0.0836 0.3408  2 Rh 2.74-2.84, 1 In 3.02
In 0.8956 0.9164 0.6592  2 Rh 2.74-2.84, 1 In 3.02
In 0.2835 0.6142 0.6142  2 Rh 2.85, 4 In 3.14-3.15
In 0.1044 0.3408 0.0836  2 Rh 2.74-2.84, 1 In 3.02
Nd 0.5000 0.0000 0.0000  8 In 3.21-3.41
Rh 0.0000 0.3001 0.6999  8 In 2.62-2.85
Rh 0.0000 0.6999 0.3001  8 In 2.62-2.85

***

7.
A plane-wave DFT calculation with PBE was carried out for crystalline LiZr2O at its relaxed geometry.

- Uncorrected formation energy: -0.889 eV/atom
- Mass density: 4.7 g cm⁻³
- Magnetic moment: 0.00 μB per atom

abc: 3.0474 3.0474 9.1624
angles: 80.43 80.43 60.00
With the nearest neighbours (Å) after each atom.
Fractional positions:
Zr 0.1094 0.1094 0.6719  3 O 2.34
Zr 0.8906 0.8906 0.3281  3 O 2.34
Li 0.0000 0.0000 0.0000  2 Zr 2.95, 6 Li 3.05
O 0.5000 0.5000 0.5000  6 Zr 2.34

***

8.
A plane-wave DFT calculation with PBE was carried out for crystalline TiBP2Cl at its relaxed geometry.

- Uncorrected formation energy: 0.523 eV/atom
- Mass density: 3.4 g cm⁻³
- Magnetic moment: 0.00 μB per atom
- Energy relative to the lowest polymorph listed for this composition: 0 meV/atom

abc: 4.0366 4.0366 4.6231
angles: 90.00 90.00 90.00
With the nearest neighbours (Å) after each atom.
Fractional positions:
B 0.0000 0.0000 0.0000  4 P 2.02
Ti 0.5000 0.5000 0.5000  4 Cl 2.85, 8 P 3.07
P 0.0000 0.5000 0.0000  2 B 2.02
P 0.5000 0.0000 0.0000  2 B 2.02
Cl 0.0000 0.0000 0.5000  2 B 2.31

***

9.
A plane-wave DFT calculation with PBE was carried out for crystalline NbCd2Pb at its relaxed geometry.

- Energy of formation from the pure elements: 520 meV/atom
- Mass density: 9.1 g cm⁻³
- Magnetic moment: 0.00 μB per atom

abc: 8.1373 8.1373 6.4430
angles: 50.84 50.84 90.00
With the nearest neighbours (Å) after each atom.
Fractional positions:
Cd 0.1370 0.6250 0.2500  2 Nb 2.90, 2 Cd 2.91, 2 Pb 3.03
Cd 0.6130 0.1250 0.2500  2 Nb 2.90, 2 Cd 2.91, 2 Pb 3.03
Cd 0.3750 0.3870 0.7500  2 Nb 2.90, 2 Cd 2.91, 2 Pb 3.03
Cd 0.8750 0.8630 0.7500  2 Nb 2.90, 2 Cd 2.91, 2 Pb 3.03
Pb 0.7500 0.2500 0.5000  2 Nb 2.90, 4 Cd 3.03
Pb 0.0000 0.0000 0.0000  2 Nb 2.90, 4 Cd 3.03
Nb 0.5000 0.5000 0.0000  2 Pb 2.90, 4 Cd 2.90
Nb 0.2500 0.7500 0.5000  2 Pb 2.90, 4 Cd 2.90

***

10.
A plane-wave DFT calculation with PBE was carried out for crystalline Na6Cd5Pb at its relaxed geometry.

- Energy of formation from the pure elements: -80 meV/atom
- Mass density: 4.7 g cm⁻³
- Magnetic moment: 0.00 μB per atom

abc: 4.5000 8.9415 8.9415
angles: 104.68 104.54 104.54
With the nearest neighbours (Å) after each atom.
Fractional positions:
Pb 0.0000 0.0000 0.0000  4 Cd 3.33, 8 Na 3.36-3.42
Cd 0.0000 0.3306 0.6694  4 Cd 3.17-3.29, 8 Na 3.35-3.45
Cd 0.5000 0.8269 0.1731  2 Cd 3.17, 2 Pb 3.33, 8 Na 3.36-3.50
Cd 0.5000 0.1731 0.8269  2 Cd 3.17, 2 Pb 3.33, 8 Na 3.36-3.50
Cd 0.5000 0.5000 0.5000  4 Cd 3.29, 8 Na 3.35-3.42
Cd 0.0000 0.6694 0.3306  4 Cd 3.17-3.29, 8 Na 3.35-3.45
Na 0.7517 0.2513 0.2513  4 Na 3.25, 6 Cd 3.35-3.50, 2 Pb 3.36-3.37
Na 0.7502 0.5841 0.9159  4 Na 3.25-3.28, 7 Cd 3.35-3.42, 1 Pb 3.42
Na 0.2483 0.7487 0.7487  4 Na 3.25, 6 Cd 3.35-3.50, 2 Pb 3.36-3.37
Na 0.7502 0.9159 0.5841  4 Na 3.25-3.28, 7 Cd 3.35-3.42, 1 Pb 3.42
Na 0.2498 0.4159 0.0841  4 Na 3.25-3.28, 7 Cd 3.35-3.42, 1 Pb 3.42
Na 0.2498 0.0841 0.4159  4 Na 3.25-3.28, 7 Cd 3.35-3.42, 1 Pb 3.42

***

11.
A plane-wave DFT calculation with PBE was carried out for crystalline TmAgSe2 at its relaxed geometry.

- Uncorrected formation energy: -1.154 eV/atom
- Mass density: 7.5 g cm⁻³
- Magnetic moment: 0.00 μB per atom

abc: 4.1204 4.1204 6.9368
angles: 72.72 72.72 60.00
With the nearest neighbours (Å) after each atom.
Fractional positions:
Ag 0.5000 0.5000 0.5000  6 Se 2.92
Tm 0.0000 0.0000 0.0000  6 Se 2.85
Se 0.7471 0.7471 0.7588  3 Tm 2.85, 3 Ag 2.92
Se 0.2529 0.2529 0.2412  3 Tm 2.85, 3 Ag 2.92